TiIn3Hg | PBE-GGA | relaxed

```
data_TiIn3Hg
_chemical_formula_sum 'Ti1 In3 Hg1'
_cell_length_a 5.406
_cell_length_b 5.406
_cell_length_c 5.406
_cell_angle_alpha 90.00
_cell_angle_beta 90.00
_cell_angle_gamma 90.00
_symmetry_space_group_name_H-M 'P m -3 m'
_symmetry_Int_Tables_number 221
_symmetry_space_group_name_Hall '-P 4 2 3'
loop_
_atom_site_label
_atom_site_fract_x
_atom_site_fract_y
_atom_site_fract_z
_atom_site_occupancy
Ti1 0.000 0.000 0.000 1
In1 0.000 0.500 0.500 1
Hg1 0.500 0.500 0.500 1
```

## Properties
**Raw total energy**: -2.360 eV/atom
**Mass density**: 6232 kg/m3
**Calculated formation energy**: 89 kJ/mol of atoms
**Energy above the lowest structure with this stoichiometry**: 474 meV per atom